(1)
## La2ScSn4Pt3 (GGA-PBE)

Data for La2ScSn4Pt3 after structural relaxation.

The formation energy from the elements is -0.890 eV/atom. The crystal system is tetragonal. The total energy is -59.2 eV/f.u.

It has space group P-4m2 (No. 115), with a = 4.483 Å, b = 4.483 Å, c = 11.868 Å, α = 90.00°, β = 90.00° and γ = 90.00°. Symmetry generates all atoms from La at (0.000, 0.500, 0.242), Sc at (0.000, 0.000, 0.500), Sn at (0.000, 0.000, 0.000), Sn at (0.000, 0.500, 0.647), Sn at (0.500, 0.500, 0.000), Pt at (0.000, 0.500, 0.871) and Pt at (0.500, 0.500, 0.500).

***

(2)
## Ba8MgCd2 (GGA-PBE)

Data for Ba8MgCd2 after structural relaxation.

The formation energy from the elements is -0.102 eV/atom. The value obtained for the distance to the lowest polymorph of the same formula is 0 meV/atom. The crystal system is monoclinic. The total energy is -19.9 eV/f.u.

It has space group C2/m (No. 12), with a = 21.536 Å, b = 6.103 Å, c = 8.659 Å, α = 90.00°, β = 109.10° and γ = 90.00°. Symmetry generates all atoms from Ba at (0.033, 0.000, 0.289), Ba at (0.096, 0.500, 0.956), Ba at (0.171, 0.500, 0.462), Ba at (0.199, 0.000, 0.809), Mg at (0.000, 0.500, 0.500) and Cd at (0.184, 0.000, 0.203).

***

(3)
## BaLa2Ir (GGA-PBE)

Data for BaLa2Ir after structural relaxation.

The formation energy from the elements is -0.193 eV/atom. The value obtained for the distance to the lowest polymorph of the same formula is 269 meV/atom. The crystal system is tetragonal. The total energy is -21.4 eV/f.u.

It has space group P4mm (No. 99), with a = 4.118 Å, b = 4.118 Å, c = 9.169 Å, α = 90.00°, β = 90.00° and γ = 90.00°. Symmetry generates all atoms from Ba at (0.000, 0.000, 0.000), La at (0.000, 0.000, 0.399), La at (0.500, 0.500, 0.673) and Ir at (0.500, 0.500, 0.378).

***

(4)
## Y7Zn (GGA-PBE)

Data for Y7Zn after structural relaxation.

The formation energy from the elements is -0.072 eV/atom. The value obtained for the distance to the lowest polymorph of the same formula is 0 meV/atom. The crystal system is tetragonal. The total energy is -47.1 eV/f.u.

It has space group P4/mmm (No. 123), with a = 3.577 Å, b = 3.577 Å, c = 18.857 Å, α = 90.00°, β = 90.00° and γ = 90.00°. Symmetry generates all atoms from Y at (0.000, 0.000, 0.000), Y at (0.000, 0.000, 0.268), Y at (0.500, 0.500, 0.135), Y at (0.500, 0.500, 0.406) and Zn at (0.000, 0.000, 0.500).

***

(5)
## AgAsPt2 (GGA-PBE)

Data for AgAsPt2 after structural relaxation.

The formation energy from the elements is 0.071 eV/atom. The crystal system is orthorhombic. The total energy is -19.3 eV/f.u.

It has space group Cmmm (No. 65), with a = 2.859 Å, b = 4.884 Å, c = 9.590 Å, α = 90.00°, β = 90.00° and γ = 90.00°. Symmetry generates all atoms from Ag at (0.000, 0.000, 0.000), As at (0.000, 0.000, 0.500) and Pt at (0.000, 0.500, 0.257).

***

(6)
## Pa2Co12SiH3 (GGA-PBE)

Data for Pa2Co12SiH3 after structural relaxation.

The crystal system is trigonal. The total energy is -120.6 eV/f.u.

It has space group R-3m (No. 166, hexagonal axes), with a = 6.4565 Å, b = 6.4565 Å, c = 16.5857 Å, α = 90.00°, β = 90.00° and γ = 120.00°. Symmetry generates all atoms from Pa at (0.0000, 0.0000, 0.1036), Co at (0.0559, 0.5280, 0.8868), Co at (0.0784, 0.5392, 0.3200), Si at (0.0000, 0.0000, 0.5000) and H at (0.0000, 0.5000, 0.0000).

***

Values of Fermi-level density of states, in order: 0.448, 1.459, 1.188, 1.342, 0.837, 0.870, all in states/eV per atom.